# 1
MnSiSe2 | PBE | optimized geometry

Summary:
- VASP energy: -0.3760 Ry/atom
- Formation energy from raw total energies: 0.274 eV/atom

Cell lengths 3.3620, 4.6905, 4.6905 Å; angles 90.00, 90.00, 90.00 degrees
Fractional coordinates of all 4 atoms:
1 Mn 0.5000 0.0000 0.5000
2 Se 0.0000 0.0000 0.0000
3 Se 0.0000 0.5000 0.5000
4 Si 0.5000 0.5000 0.0000



# 2
MnSi2Se6 | PBE | optimized geometry

Summary:
- VASP energy: -0.3558 Ry/atom
- Formation energy from raw total energies: -0.293 eV/atom

Cell lengths 6.4498, 8.2121, 8.2121 Å; angles 85.63, 81.98, 81.98 degrees
Fractional coordinates of all 18 atoms:
1 Mn 0.2500 0.1121 0.8879
2 Mn 0.7500 0.8879 0.1121
3 Si 0.1638 0.6155 0.7745
4 Si 0.3362 0.2255 0.3845
5 Si 0.8362 0.3845 0.2255
6 Si 0.6638 0.7745 0.6155
7 Se 0.3564 0.7113 0.5340
8 Se 0.1436 0.4660 0.2887
9 Se 0.6436 0.2887 0.4660
10 Se 0.8564 0.5340 0.7113
11 Se 0.8588 0.8810 0.3866
12 Se 0.6412 0.6134 0.1190
13 Se 0.1412 0.1190 0.6134
14 Se 0.3588 0.3866 0.8810
15 Se 0.1207 0.8171 0.9681
16 Se 0.3793 0.0319 0.1829
17 Se 0.8793 0.1829 0.0319
18 Se 0.6207 0.9681 0.8171



# 3
MnSiSe2 | PBE | optimized geometry

Summary:
- VASP energy: -0.3847 Ry/atom
- Formation energy from raw total energies: 0.157 eV/atom

Cell lengths 5.3409, 5.3409, 5.3409 Å; angles 140.47, 99.07, 94.08 degrees
Fractional coordinates of all 4 atoms:
1 Mn 0.2500 0.7500 0.5000
2 Se 0.0034 0.0034 0.0000
3 Se 0.4966 0.4966 0.0000
4 Si 0.7500 0.2500 0.5000



# 4
MnSiSe2 | PBE | optimized geometry

Summary:
- VASP energy: -0.3939 Ry/atom
- Formation energy from raw total energies: 0.031 eV/atom

Cell lengths 8.4802, 8.4802, 8.4802 Å; angles 23.01, 23.01, 23.01 degrees
Fractional coordinates of all 4 atoms:
1 Si 0.0000 0.0000 0.0000
2 Mn 0.5000 0.5000 0.5000
3 Se 0.8925 0.8925 0.8925
4 Se 0.1075 0.1075 0.1075



# 5
MnSi2Se | PBE | optimized geometry

Summary:
- VASP energy: -0.4199 Ry/atom
- Formation energy from raw total energies: 0.162 eV/atom

Cell lengths 5.1281, 3.6052, 3.6049 Å; angles 90.71, 90.00, 90.00 degrees
Fractional coordinates of all 4 atoms:
1 Mn 0.5000 0.2500 0.2500
2 Se 0.5000 0.7500 0.7500
3 Si 0.0000 0.0088 0.0087
4 Si 0.0000 0.4912 0.4913



# 6
MnSiSe | PBE | optimized geometry

Summary:
- VASP energy: -0.4070 Ry/atom
- Formation energy from raw total energies: 0.488 eV/atom

Cell lengths 4.2801, 4.2801, 4.2801 Å; angles 60.00, 60.00, 60.00 degrees
Fractional coordinates of all 3 atoms:
1 Mn 0.0000 0.0000 0.0000
2 Se 0.5000 0.5000 0.5000
3 Si 0.7500 0.7500 0.7500



# 7
MnSiSe | PBE | optimized geometry

Summary:
- VASP energy: -0.4327 Ry/atom
- Formation energy from raw total energies: 0.138 eV/atom

Cell lengths 4.1795, 4.1795, 4.1795 Å; angles 60.00, 60.00, 60.00 degrees
Fractional coordinates of all 3 atoms:
1 Mn 0.7500 0.7500 0.7500
2 Se 0.0000 0.0000 0.0000
3 Si 0.5000 0.5000 0.5000



# 8
MnSi3Se | PBE | optimized geometry

Summary:
- VASP energy: -0.4060 Ry/atom
- Polymorph energy (0 for the lowest one): 0.0 meV/atom
- Formation energy from raw total energies: 0.261 eV/atom

Cell lengths 4.4632, 4.4632, 4.4632 Å; angles 90.00, 90.00, 90.00 degrees
Fractional coordinates of all 5 atoms:
1 Si 0.0000 0.5000 0.0000
2 Si 0.0000 0.0000 0.5000
3 Si 0.5000 0.0000 0.0000
4 Mn 0.0000 0.0000 0.0000
5 Se 0.5000 0.5000 0.5000



# 9
MnSi2Se | PBE | optimized geometry

Summary:
- VASP energy: -0.4196 Ry/atom
- Formation energy from raw total energies: 0.167 eV/atom

Cell lengths 9.0265, 9.0265, 9.0265 Å; angles 18.50, 18.50, 18.50 degrees
Fractional coordinates of all 4 atoms:
1 Mn 0.5037 0.5037 0.5037
2 Se 0.7757 0.7757 0.7757
3 Si 0.9833 0.9833 0.9833
4 Si 0.2373 0.2373 0.2373



# 10
MnSi2Se | PBE | optimized geometry

Summary:
- VASP energy: -0.4183 Ry/atom
- Formation energy from raw total energies: 0.184 eV/atom

Cell lengths 5.6144, 5.6144, 3.6190 Å; angles 98.40, 98.40, 37.42 degrees
Fractional coordinates of all 4 atoms:
1 Mn 0.7500 0.7500 0.7500
2 Se 0.2500 0.2500 0.2500
3 Si 0.9954 0.9954 0.9895
4 Si 0.5046 0.5046 0.5105



# 11
MnSiSe2 | PBE | optimized geometry

Summary:
- VASP energy: -0.4012 Ry/atom
- Formation energy from raw total energies: -0.068 eV/atom

Cell lengths 4.1881, 4.1881, 6.6206 Å; angles 83.66, 83.66, 47.52 degrees
Fractional coordinates of all 4 atoms:
1 Mn 0.2555 0.2555 0.3490
2 Se 0.9624 0.9624 0.1261
3 Se 0.7423 0.7423 0.6280
4 Si 0.5398 0.5398 0.3968



# 12
MnSiSe2 | PBE | optimized geometry

Summary:
- VASP energy: -0.3844 Ry/atom
- Formation energy from raw total energies: 0.160 eV/atom

Cell lengths 3.5973, 6.7770, 3.6506 Å; angles 90.00, 90.00, 90.00 degrees
Fractional coordinates of all 4 atoms:
1 Mn 0.0000 0.5000 0.5000
2 Se 0.0000 0.0000 0.0000
3 Se 0.5000 0.5000 0.0000
4 Si 0.5000 0.0000 0.5000